BaZrMo2 (meta-GGA SCAN, PBEsol geometry); DFT formation energy = 1210 meV/atom; energy above the most stable polymorph in this dataset = 727 meV/atom; SG = P4/mmm; DOS at the Fermi energy = 3.51 states/eV per cell; volume = 19.9 Å³/atom; DFT total energy = -135.18 eV per cell
1.0
4.881 0.000 0.000
0.000 4.881 0.000
0.000 0.000 3.347
Ba Zr Mo
1 1 2
Cartesian
0.000 0.000 0.000
2.441 2.441 0.000
0.000 2.441 1.674
2.441 0.000 1.674